The following is a PBE calculation of crystalline Ca2NdHo at its relaxed geometry, from the Alexandria database.

Cell lengths 3.6825, 6.3756, 8.8524 Å; angles 43.97, 89.78, 89.69 degrees
Closest atoms and distances in Å follow each position.
Sites, in units of the cell vectors:
Ca (0.1728, 0.9379, 0.6848)  6 Ca 3.66-3.71, 4 Ho 3.73-3.74, 2 Nd 3.74-3.75
Ca (0.6737, 0.4409, 0.6846)  6 Ca 3.66-3.71, 2 Ho 3.73, 4 Nd 3.74
Nd (0.1761, 0.7735, 0.1846)  4 Ho 3.67-3.69, 2 Nd 3.68, 6 Ca 3.74-3.75
Ho (0.6764, 0.2736, 0.1847)  4 Nd 3.67-3.69, 2 Ho 3.68, 6 Ca 3.73-3.74

ΔE_f = 0.358 eV per formula unit
Excess energy over the best structure of this formula in the dataset = 0.0 meV/atom
E_tot = -3.248 eV per atom
Space group = Pm (6)

The following is a PBE calculation of crystalline ErAg5 at its relaxed geometry, from the Alexandria database.

Cell lengths 5.2446, 5.9995, 9.0401 Å; angles 90.00, 90.00, 125.36 degrees
Closest atoms and distances in Å follow each position.
Sites, in units of the cell vectors:
Er (0.7502, 0.0006, 0.2500)  12 Ag 3.00-3.04
Er (0.2498, 0.9994, 0.7500)  12 Ag 3.00-3.04
Ag (0.7495, 0.5002, 0.2500)  10 Ag 2.94-3.06, 2 Er 3.00
Ag (0.2505, 0.4998, 0.7500)  10 Ag 2.94-3.06, 2 Er 3.00
Ag (0.7498, 0.4996, 0.9245)  10 Ag 2.94-3.15, 2 Er 3.04
Ag (0.2502, 0.5004, 0.4245)  10 Ag 2.94-3.15, 2 Er 3.04
Ag (0.2502, 0.5004, 0.0755)  10 Ag 2.94-3.15, 2 Er 3.04
Ag (0.7498, 0.4996, 0.5755)  10 Ag 2.94-3.15, 2 Er 3.04
Ag (0.7503, 0.0001, 0.9159)  9 Ag 2.97-3.03, 3 Er 3.02
Ag (0.2497, 0.9999, 0.4159)  9 Ag 2.97-3.03, 3 Er 3.02
Ag (0.2497, 0.9999, 0.0841)  9 Ag 2.97-3.03, 3 Er 3.02
Ag (0.7503, 0.0001, 0.5841)  9 Ag 2.97-3.03, 3 Er 3.02

ΔE_f = -0.715 eV per formula unit
E_tot = -3.256 eV per atom
Space group = P2_1/m (11)

Look up the E_tot of the first one.
-3.248 eV per atom